Below is K2NiBRh after structural relaxation, with properties calculated at the PBEsol level.

The structure in CIF format:
```
data_K2NiBRh
_cell_length_a 4.3654
_cell_length_b 5.8471
_cell_length_c 5.8471
_cell_angle_alpha 90.00
_cell_angle_beta 90.00
_cell_angle_gamma 90.00
_space_group_name_H-M_alt 'P 1'
_space_group_IT_number 1
loop_
_space_group_symop_operation_xyz
'x,y,z'
loop_
_atom_site_label
_atom_site_fract_x
_atom_site_fract_y
_atom_site_fract_z
_atom_site_occupancy
Ni1 0.5000 0.0000 0.0000 1
K1 0.0000 0.0000 0.5000 1
K2 0.0000 0.5000 0.0000 1
B1 0.5000 0.5000 0.5000 1
Rh1 0.0000 0.0000 0.0000 1
```

Results
E: -2.98 eV/atom
density of states at the Fermi level: 5.58 states/eV per cell
space-group type: No. 123

---

Below is KB3O5 after structural relaxation, with properties calculated at the PBEsol level.

The structure in CIF format:
```
data_KB3O5
_cell_length_a 6.5268
_cell_length_b 6.5268
_cell_length_c 9.1058
_cell_angle_alpha 79.60
_cell_angle_beta 79.60
_cell_angle_gamma 84.73
_space_group_name_H-M_alt 'P 1'
_space_group_IT_number 1
loop_
_space_group_symop_operation_xyz
'x,y,z'
loop_
_atom_site_label
_atom_site_fract_x
_atom_site_fract_y
_atom_site_fract_z
_atom_site_occupancy
K1 0.4191 0.7461 0.0558 1
K2 0.2539 0.5809 0.4442 1
K3 0.5809 0.2539 0.9442 1
K4 0.7461 0.4191 0.5558 1
B1 0.2082 0.2063 0.2617 1
B2 0.7937 0.7918 0.2383 1
B3 0.7918 0.7937 0.7383 1
B4 0.2063 0.2082 0.7617 1
B5 0.5682 0.0850 0.3181 1
B6 0.9150 0.4318 0.1819 1
B7 0.4318 0.9150 0.6819 1
B8 0.0850 0.5682 0.8181 1
B9 0.8822 0.9663 0.4355 1
B10 0.0337 0.1178 0.0645 1
B11 0.1178 0.0337 0.5645 1
B12 0.9663 0.8822 0.9355 1
O1 0.0947 0.0674 0.3992 1
O2 0.9326 0.9053 0.1008 1
O3 0.9053 0.9326 0.6008 1
O4 0.0674 0.0947 0.8992 1
O5 0.2180 0.1134 0.1272 1
O6 0.8866 0.7820 0.3728 1
O7 0.7820 0.8866 0.8728 1
O8 0.1134 0.2180 0.6272 1
O9 0.5883 0.9093 0.2516 1
O10 0.0907 0.4117 0.2484 1
O11 0.4117 0.0907 0.7484 1
O12 0.9093 0.5883 0.7516 1
O13 0.4105 0.2363 0.2973 1
O14 0.7637 0.5895 0.2027 1
O15 0.5895 0.7637 0.7027 1
O16 0.2363 0.4105 0.7973 1
O17 0.7111 0.1167 0.4057 1
O18 0.8833 0.2889 0.0943 1
O19 0.2889 0.8833 0.5943 1
O20 0.1167 0.7111 0.9057 1
```

Results
uncorrected formation energy: -2.451 eV/atom
density of states at the Fermi level: 0.00 states/eV per cell
space-group type: No. 15

---

Below is K2B4O7 after structural relaxation, with properties calculated at the PBEsol level.

The structure in CIF format:
```
data_K2B4O7
_cell_length_a 6.4855
_cell_length_b 9.6418
_cell_length_c 10.4190
_cell_angle_alpha 89.40
_cell_angle_beta 77.43
_cell_angle_gamma 78.86
_space_group_name_H-M_alt 'P 1'
_space_group_IT_number 1
loop_
_space_group_symop_operation_xyz
'x,y,z'
loop_
_atom_site_label
_atom_site_fract_x
_atom_site_fract_y
_atom_site_fract_z
_atom_site_occupancy
K1 0.7516 0.0031 0.4066 1
K2 0.2484 0.9969 0.5934 1
K3 0.2084 0.3726 0.4976 1
K4 0.7916 0.6274 0.5024 1
K5 0.6634 0.5210 0.1255 1
K6 0.3366 0.4790 0.8745 1
K7 0.6333 0.1251 0.0394 1
K8 0.3667 0.8749 0.9606 1
B1 0.6670 0.2993 0.5441 1
B2 0.3330 0.7007 0.4559 1
B3 0.1324 0.1909 0.8403 1
B4 0.8676 0.8091 0.1597 1
B5 0.1247 0.4454 0.1881 1
B6 0.8753 0.5546 0.8119 1
B7 0.1898 0.0911 0.2696 1
B8 0.8102 0.9090 0.7304 1
B9 0.5487 0.1517 0.7292 1
B10 0.4513 0.8483 0.2708 1
B11 0.8825 0.2996 0.3135 1
B12 0.1175 0.7004 0.6865 1
B13 0.0576 0.2248 0.0931 1
B14 0.9424 0.7752 0.9069 1
B15 0.8115 0.3130 0.7470 1
B16 0.1885 0.6870 0.2530 1
O1 0.8509 0.2571 0.1880 1
O2 0.0430 0.1867 0.3596 1
O3 0.3219 0.6795 0.5885 1
O4 0.6781 0.3205 0.4115 1
O5 0.0285 0.5664 0.6990 1
O6 0.9570 0.8133 0.6404 1
O7 0.3197 0.9888 0.3238 1
O8 0.6803 0.0112 0.6762 1
O9 0.6528 0.8735 0.1858 1
O10 0.3472 0.1265 0.8142 1
O11 0.3494 0.7680 0.1963 1
O12 0.6506 0.2320 0.8037 1
O13 0.2327 0.5554 0.1701 1
O14 0.7673 0.4446 0.8299 1
O15 0.4876 0.7746 0.3938 1
O16 0.5124 0.2254 0.6062 1
O17 0.2018 0.6483 0.3908 1
O18 0.7982 0.3517 0.6092 1
O19 0.9626 0.7642 0.2630 1
O20 0.0374 0.2358 0.7370 1
O21 0.1732 0.3465 0.0860 1
O22 0.8268 0.6535 0.9140 1
O23 0.2017 0.1002 0.1366 1
O24 0.7983 0.8998 0.8634 1
O25 0.0124 0.2003 0.9661 1
O26 0.9876 0.7997 0.0339 1
O27 0.9715 0.4336 0.3010 1
O28 0.1491 0.7429 0.8120 1
```

Results
uncorrected formation energy: -2.431 eV/atom
density of states at the Fermi level: 0.00 states/eV per cell
space-group type: No. 2

---

Below is KBO2 after structural relaxation, with properties calculated at the PBEsol level.

The structure in CIF format:
```
data_KBO2
_cell_length_a 7.2670
_cell_length_b 7.7340
_cell_length_c 7.7340
_cell_angle_alpha 69.34
_cell_angle_beta 71.75
_cell_angle_gamma 108.25
_space_group_name_H-M_alt 'P 1'
_space_group_IT_number 1
loop_
_space_group_symop_operation_xyz
'x,y,z'
loop_
_atom_site_label
_atom_site_fract_x
_atom_site_fract_y
_atom_site_fract_z
_atom_site_occupancy
K1 0.8105 0.1210 0.4395 1
K2 0.2500 0.4395 0.4395 1
K3 0.6895 0.4395 0.1210 1
K4 0.1895 0.8790 0.5605 1
K5 0.7500 0.5605 0.5605 1
K6 0.3105 0.5605 0.8790 1
B1 0.8639 0.2277 0.8861 1
B2 0.1361 0.7723 0.1139 1
B3 0.2500 0.1139 0.1139 1
B4 0.3639 0.1139 0.7723 1
B5 0.7500 0.8861 0.8861 1
B6 0.6361 0.8861 0.2277 1
O1 0.8591 0.1091 0.7818 1
O2 0.7500 0.1091 0.1091 1
O3 0.3591 0.2182 0.8909 1
O4 0.6409 0.7818 0.1091 1
O5 0.1409 0.8909 0.2182 1
O6 0.2500 0.8909 0.8909 1
O7 0.5322 0.7822 0.4356 1
O8 0.7500 0.7822 0.7822 1
O9 0.9678 0.4356 0.7822 1
O10 0.4678 0.2178 0.5644 1
O11 0.2500 0.2178 0.2178 1
O12 0.0322 0.5644 0.2178 1
```

Results
uncorrected formation energy: -2.301 eV/atom
density of states at the Fermi level: 0.00 states/eV per cell
space-group type: No. 167

---

Below is KZnBP2O8 after structural relaxation, with properties calculated at the PBEsol level.

The structure in CIF format:
```
data_KZnBP2O8
_cell_length_a 8.4384
_cell_length_b 8.9932
_cell_length_c 8.9932
_cell_angle_alpha 90.82
_cell_angle_beta 90.87
_cell_angle_gamma 90.87
_space_group_name_H-M_alt 'P 1'
_space_group_IT_number 1
loop_
_space_group_symop_operation_xyz
'x,y,z'
loop_
_atom_site_label
_atom_site_fract_x
_atom_site_fract_y
_atom_site_fract_z
_atom_site_occupancy
K1 0.7500 0.9683 0.0317 1
K2 0.2500 0.0317 0.9683 1
K3 0.2500 0.4032 0.5968 1
K4 0.7500 0.5968 0.4032 1
Zn1 0.4383 0.6869 0.0647 1
Zn2 0.0617 0.9353 0.3131 1
Zn3 0.9383 0.0647 0.6869 1
Zn4 0.5617 0.3131 0.9353 1
B1 0.5735 0.2061 0.4259 1
B2 0.9265 0.5741 0.7939 1
B3 0.4265 0.7939 0.5741 1
B4 0.0735 0.4259 0.2061 1
P1 0.9400 0.3096 0.9488 1
P2 0.4081 0.3911 0.2261 1
P3 0.9081 0.2261 0.3911 1
P4 0.0919 0.7739 0.6089 1
P5 0.4400 0.9488 0.3096 1
P6 0.5919 0.6089 0.7739 1
P7 0.0600 0.6904 0.0512 1
P8 0.5600 0.0512 0.6904 1
O1 0.7645 0.5669 0.7328 1
O2 0.0854 0.9026 0.7204 1
O3 0.5676 0.0760 0.3278 1
O4 0.0052 0.1981 0.5334 1
O5 0.9832 0.4231 0.8246 1
O6 0.0168 0.5769 0.1754 1
O7 0.2757 0.0101 0.3342 1
O8 0.7757 0.3342 0.0101 1
O9 0.9948 0.8019 0.4666 1
O10 0.9668 0.1539 0.8846 1
O11 0.2355 0.4331 0.2672 1
O12 0.7355 0.2672 0.4331 1
O13 0.5854 0.7204 0.9026 1
O14 0.4324 0.9240 0.6722 1
O15 0.9696 0.3764 0.3266 1
O16 0.5168 0.1754 0.5769 1
O17 0.2243 0.6658 0.9899 1
O18 0.5304 0.6734 0.6236 1
O19 0.9324 0.6722 0.9240 1
O20 0.5332 0.1154 0.8461 1
O21 0.2645 0.7328 0.5669 1
O22 0.5052 0.5334 0.1981 1
O23 0.4696 0.3266 0.3764 1
O24 0.7243 0.9899 0.6658 1
O25 0.4948 0.4666 0.8019 1
O26 0.4668 0.8846 0.1539 1
O27 0.0676 0.3278 0.0760 1
O28 0.0304 0.6236 0.6734 1
O29 0.0332 0.8461 0.1154 1
O30 0.9146 0.0974 0.2796 1
O31 0.4146 0.2796 0.0974 1
O32 0.4832 0.8246 0.4231 1
```

Results
uncorrected formation energy: -2.244 eV/atom
density of states at the Fermi level: 0.00 states/eV per cell
space-group type: No. 15

---

Below is K2BPdO after structural relaxation, with properties calculated at the PBEsol level.

The structure in CIF format:
```
data_K2BPdO
_cell_length_a 2.8316
_cell_length_b 6.0697
_cell_length_c 6.0697
_cell_angle_alpha 90.00
_cell_angle_beta 90.00
_cell_angle_gamma 90.00
_space_group_name_H-M_alt 'P 1'
_space_group_IT_number 1
loop_
_space_group_symop_operation_xyz
'x,y,z'
loop_
_atom_site_label
_atom_site_fract_x
_atom_site_fract_y
_atom_site_fract_z
_atom_site_occupancy
K1 0.0000 0.0000 0.5000 1
K2 0.0000 0.5000 0.0000 1
B1 0.0000 0.0000 0.0000 1
O1 0.5000 0.0000 0.0000 1
Pd1 0.5000 0.5000 0.5000 1
```

Results
uncorrected formation energy: 0.107 eV/atom
density of states at the Fermi level: 1.85 states/eV per cell
space-group type: No. 123